Record 1
The following is a PBE calculation of a relaxed structure of HIr2Rh, from Alexandria.

Geometry as POSCAR:
```
HIr2Rh
1.0
6.105 0.000 0.000
0.000 6.105 0.000
3.052 3.052 2.569
H Ir Rh
2 4 2
direct
0.500 0.500 0.000
0.250 0.750 0.500
0.527 0.125 0.250
0.223 0.625 0.250
0.375 0.473 0.750
0.875 0.777 0.750
0.000 0.000 0.000
0.750 0.250 0.500
```

Distance to the lowest polymorph of the same formula, meV/atom: 0
Uncorrected energy, eV per atom: -6.7733
Magnetic moment, μB per cell: 0.0


Record 2
The following is a PBE calculation of a relaxed structure of HIrRh2, from Alexandria.

Geometry as POSCAR:
```
HIrRh2
1.0
-2.218 0.236 -1.523
0.225 -2.591 -0.728
-3.627 -1.725 5.015
H Ir Rh
1 1 2
direct
0.500 0.500 0.000
0.500 0.500 0.500
0.000 0.000 0.796
0.000 0.000 0.204
```

Distance to the lowest polymorph of the same formula, meV/atom: 196
Uncorrected energy, eV per atom: -6.4967
Magnetic moment, μB per cell: 0.0


Record 3
The following is a PBE calculation of a relaxed structure of H2IrRh2, from Alexandria.

Geometry as POSCAR:
```
H2IrRh2
1.0
-1.835 1.895 -1.006
-1.495 -2.078 -1.188
-5.026 -0.616 4.049
H Ir Rh
2 1 2
direct
0.750 0.250 0.500
0.250 0.750 0.500
0.000 0.000 0.000
0.349 0.349 0.302
0.651 0.651 0.698
```

Distance to the lowest polymorph of the same formula, meV/atom: 0
Uncorrected energy, eV per atom: -5.9592
Magnetic moment, μB per cell: 0.0


Record 4
The following is a PBE calculation of a relaxed structure of HIr3Rh, from Alexandria.

Geometry as POSCAR:
```
HIr3Rh
1.0
4.736 0.000 0.000
0.000 4.736 0.000
0.000 0.000 4.736
H Ir Rh
1 3 1
direct
0.500 0.500 0.500
0.000 0.500 0.000
0.000 0.000 0.500
0.500 0.000 0.000
0.000 0.000 0.000
```

Distance to the lowest polymorph of the same formula, meV/atom: 2379
Uncorrected energy, eV per atom: -4.8955
Magnetic moment, μB per cell: 2.4


Record 5
The following is a PBE calculation of a relaxed structure of HIrRh2, from Alexandria.

Geometry as POSCAR:
```
HIrRh2
1.0
2.759 0.000 0.000
1.380 2.389 0.000
1.380 0.796 6.864
H Ir Rh
1 1 2
direct
0.667 0.667 0.000
0.501 0.501 0.498
0.058 0.058 0.825
0.274 0.274 0.178
```

Distance to the lowest polymorph of the same formula, meV/atom: 16
Uncorrected energy, eV per atom: -6.6765
Magnetic moment, μB per cell: 0.0


Record 6
The following is a PBE calculation of a relaxed structure of H12Ir3Rh5, from Alexandria.

Geometry as POSCAR:
```
H12Ir3Rh5
1.0
-7.175 4.820 3.621
2.691 -6.621 6.062
7.158 5.820 -1.650
Ir Rh H
12 20 48
direct
0.750 0.375 0.125
0.875 0.750 0.125
0.375 0.750 0.625
0.250 0.125 0.375
0.875 0.125 0.250
0.375 0.625 0.250
0.625 0.375 0.750
0.125 0.875 0.750
0.750 0.875 0.625
0.625 0.250 0.375
0.125 0.250 0.875
0.250 0.625 0.875
0.125 0.375 0.250
0.000 0.500 0.000
0.000 0.000 0.000
0.375 0.250 0.125
0.500 0.000 0.500
0.500 0.500 0.000
0.125 0.750 0.375
0.750 0.125 0.875
0.750 0.625 0.375
0.375 0.125 0.750
0.625 0.875 0.250
0.500 0.500 0.500
0.500 0.000 0.000
0.000 0.000 0.500
0.250 0.375 0.625
0.250 0.875 0.125
0.000 0.500 0.500
0.875 0.250 0.625
0.625 0.750 0.875
0.875 0.625 0.750
0.729 0.143 0.059
0.330 0.559 0.417
0.941 0.357 0.271
0.559 0.229 0.143
0.586 0.729 0.670
0.941 0.583 0.170
0.330 0.771 0.414
0.083 0.914 0.143
0.583 0.941 0.670
0.729 0.586 0.170
0.771 0.441 0.357
0.830 0.917 0.059
0.143 0.729 0.559
0.357 0.417 0.086
0.086 0.917 0.357
0.414 0.143 0.583
0.086 0.170 0.229
0.441 0.670 0.083
0.830 0.914 0.271
0.143 0.414 0.083
0.357 0.941 0.771
0.583 0.643 0.414
0.917 0.830 0.559
0.771 0.330 0.914
0.417 0.357 0.586
0.083 0.170 0.441
0.229 0.670 0.086
0.170 0.086 0.729
0.643 0.059 0.229
0.857 0.586 0.917
0.559 0.330 0.917
0.586 0.857 0.417
0.914 0.830 0.771
0.914 0.083 0.643
0.857 0.271 0.441
0.170 0.083 0.941
0.643 0.583 0.914
0.417 0.059 0.330
0.271 0.414 0.830
0.229 0.559 0.643
0.917 0.086 0.857
0.670 0.229 0.586
0.441 0.771 0.857
0.059 0.417 0.830
0.414 0.271 0.330
0.059 0.643 0.729
0.670 0.441 0.583
0.271 0.857 0.941
```

Uncorrected energy, eV per atom: -4.9139
Magnetic moment, μB per cell: 0.0


Record 7
The following is a PBE calculation of a relaxed structure of HIrRh2, from Alexandria.

Geometry as POSCAR:
```
HIrRh2
1.0
-4.378 -3.863 1.181
3.396 -4.463 -2.006
0.493 -4.524 2.055
H Ir Rh
2 2 4
direct
0.500 0.500 0.000
0.250 0.750 0.500
0.000 0.000 0.000
0.750 0.250 0.500
0.522 0.125 0.250
0.228 0.625 0.250
0.375 0.478 0.750
0.875 0.772 0.750
```

Distance to the lowest polymorph of the same formula, meV/atom: 228
Uncorrected energy, eV per atom: -6.4645
Magnetic moment, μB per cell: 0.0


Record 8
The following is a PBE calculation of a relaxed structure of HIrRh2, from Alexandria.

Geometry as POSCAR:
```
HIrRh2
1.0
-2.697 0.421 -0.370
-1.831 -1.361 1.543
-1.357 4.755 5.043
H Ir Rh
1 1 2
direct
0.000 0.000 0.000
0.500 0.500 0.500
0.726 0.726 0.821
0.274 0.274 0.179
```

Distance to the lowest polymorph of the same formula, meV/atom: 0
Uncorrected energy, eV per atom: -6.6927
Magnetic moment, μB per cell: 0.0


Record 9
The following is a PBE calculation of a relaxed structure of HIr2Rh, from Alexandria.

Geometry as POSCAR:
```
HIr2Rh
1.0
0.000 2.946 2.946
2.946 0.000 2.946
2.946 2.946 0.000
H Ir Rh
1 2 1
direct
0.000 0.000 0.000
0.250 0.250 0.250
0.750 0.750 0.750
0.500 0.500 0.500
```

Distance to the lowest polymorph of the same formula, meV/atom: 410
Uncorrected energy, eV per atom: -6.3637
Magnetic moment, μB per cell: 0.0


Record 10
The following is a PBE calculation of a relaxed structure of H12Ir5Rh3, from Alexandria.

Geometry as POSCAR:
```
H12Ir5Rh3
1.0
9.411 0.000 0.000
-3.137 8.873 0.000
-3.137 -4.436 7.684
Rh Ir H
12 20 48
direct
0.750 0.375 0.125
0.875 0.750 0.125
0.375 0.750 0.625
0.250 0.125 0.375
0.875 0.125 0.250
0.375 0.625 0.250
0.625 0.375 0.750
0.125 0.875 0.750
0.750 0.875 0.625
0.625 0.250 0.375
0.125 0.250 0.875
0.250 0.625 0.875
0.125 0.375 0.250
0.000 0.500 0.000
0.000 0.000 0.000
0.375 0.250 0.125
0.500 0.000 0.500
0.500 0.500 0.000
0.125 0.750 0.375
0.750 0.125 0.875
0.750 0.625 0.375
0.375 0.125 0.750
0.625 0.875 0.250
0.500 0.500 0.500
0.500 0.000 0.000
0.000 0.000 0.500
0.250 0.375 0.625
0.250 0.875 0.125
0.000 0.500 0.500
0.875 0.250 0.625
0.625 0.750 0.875
0.875 0.625 0.750
0.725 0.138 0.055
0.330 0.555 0.417
0.945 0.362 0.275
0.555 0.225 0.138
0.587 0.725 0.670
0.945 0.583 0.170
0.330 0.775 0.413
0.083 0.913 0.138
0.583 0.945 0.670
0.725 0.587 0.170
0.775 0.445 0.362
0.830 0.917 0.055
0.138 0.725 0.555
0.362 0.417 0.087
0.087 0.917 0.362
0.413 0.138 0.583
0.087 0.170 0.225
0.445 0.670 0.083
0.830 0.913 0.275
0.138 0.413 0.083
0.362 0.945 0.775
0.583 0.638 0.413
0.917 0.830 0.555
0.775 0.330 0.913
0.417 0.362 0.587
0.083 0.170 0.445
0.225 0.670 0.087
0.170 0.087 0.725
0.638 0.055 0.225
0.862 0.587 0.917
0.555 0.330 0.917
0.587 0.862 0.417
0.913 0.830 0.775
0.913 0.083 0.638
0.862 0.275 0.445
0.170 0.083 0.945
0.638 0.583 0.913
0.417 0.055 0.330
0.275 0.413 0.830
0.225 0.555 0.638
0.917 0.087 0.862
0.670 0.225 0.587
0.445 0.775 0.862
0.055 0.417 0.830
0.413 0.275 0.330
0.055 0.638 0.725
0.670 0.445 0.583
0.275 0.862 0.945
```

Uncorrected energy, eV per atom: -5.0091
Magnetic moment, μB per cell: 0.0


Record 11
The following is a PBE calculation of a relaxed structure of HIr2Rh2, from Alexandria.

Geometry as POSCAR:
```
HIr2Rh2
1.0
-1.025 6.011 -4.352
0.460 -4.333 -6.094
-2.697 -0.401 0.081
H Ir Rh
2 4 4
direct
0.000 0.000 0.000
0.500 0.500 0.000
0.123 0.623 0.500
0.623 0.877 0.500
0.877 0.377 0.500
0.377 0.123 0.500
0.325 0.825 0.000
0.825 0.675 0.000
0.675 0.175 0.000
0.175 0.325 0.000
```

Distance to the lowest polymorph of the same formula, meV/atom: 0
Uncorrected energy, eV per atom: -6.3487
Magnetic moment, μB per cell: 0.0


Record 12
The following is a PBE calculation of a relaxed structure of H2IrRh2, from Alexandria.

Geometry as POSCAR:
```
H2IrRh2
1.0
-2.628 0.825 -5.354
-3.573 -4.737 1.024
-1.936 1.723 1.216
H Ir Rh
4 2 4
direct
0.279 0.779 0.000
0.779 0.721 0.000
0.721 0.221 0.000
0.221 0.279 0.000
0.000 0.000 0.000
0.500 0.500 0.000
0.155 0.655 0.500
0.655 0.845 0.500
0.845 0.345 0.500
0.345 0.155 0.500
```

Distance to the lowest polymorph of the same formula, meV/atom: 194
Uncorrected energy, eV per atom: -5.7654
Magnetic moment, μB per cell: 1.2